Entry 1:
Tb3PmCd4 | PBE-GGA | optimized geometry

Summary:
The energy is -3.106 eV/atom. The value obtained for the energy relative to the elements is -0.3181 eV/atom.

The structure in CIF format:
```
data_Tb3PmCd4
_symmetry_space_group_name_H-M 'P 4/m m m'
_symmetry_Int_Tables_number 123
_symmetry_space_group_name_Hall '-P 4 2'
_cell_length_a 5.317
_cell_length_b 5.317
_cell_length_c 7.624
_cell_angle_alpha 90.00
_cell_angle_beta 90.00
_cell_angle_gamma 90.00
loop_
_atom_site_label
_atom_site_fract_x
_atom_site_fract_y
_atom_site_fract_z
Tb1 0.000 0.000 0.000
Tb2 0.000 0.000 0.500
Tb3 0.500 0.500 0.000
Pm1 0.500 0.500 0.500
Cd1 0.000 0.500 0.245
```

Entry 2:
RbFeCu | PBE-GGA | optimized geometry

Summary:
The energy is -3.713 eV/atom. As for the excess energy over the best structure of this formula in the dataset: 315.8 meV/atom. The value obtained for the energy relative to the elements is 0.7963 eV/atom.

The structure in CIF format:
```
data_RbFeCu
_symmetry_space_group_name_H-M 'C 1 m 1'
_symmetry_Int_Tables_number 8
_cell_length_a 12.705
_cell_length_b 3.809
_cell_length_c 3.053
_cell_angle_alpha 90.00
_cell_angle_beta 103.02
_cell_angle_gamma 90.00
loop_
_symmetry_equiv_pos_as_xyz
'x,y,z'
'x,-y,z'
'x+1/2,y+1/2,z'
'x+1/2,-y+1/2,z'
loop_
_atom_site_label
_atom_site_fract_x
_atom_site_fract_y
_atom_site_fract_z
Rb1 0.000 0.000 0.000
Fe1 0.236 0.500 0.743
Cu1 0.271 0.000 0.277
```

Entry 3:
RbNiTeCl6 | PBE-GGA | optimized geometry

Summary:
The energy is -3.147 eV/atom. The formation energy from raw total energies comes out at -0.817 eV/atom.

The structure in CIF format:
```
data_RbNiTeCl6
_symmetry_space_group_name_H-M 'P 1'
_symmetry_Int_Tables_number 1
_cell_length_a 6.713
_cell_length_b 6.913
_cell_length_c 7.202
_cell_angle_alpha 84.28
_cell_angle_beta 73.37
_cell_angle_gamma 67.56
loop_
_symmetry_equiv_pos_as_xyz
'x,y,z'
loop_
_atom_site_label
_atom_site_fract_x
_atom_site_fract_y
_atom_site_fract_z
Rb1 0.000 0.000 0.000
Ni1 0.821 0.720 0.637
Te1 0.456 0.406 0.525
Cl1 0.055 0.444 0.778
Cl2 0.120 0.751 0.406
Cl3 0.443 0.168 0.303
Cl4 0.508 0.645 0.775
Cl5 0.652 0.061 0.717
Cl6 0.800 0.430 0.302
```

Entry 4:
La2CoOs | PBE-GGA | optimized geometry

Summary:
The energy is -6.829 eV/atom. The value obtained for the energy relative to the elements is 0.2185 eV/atom.

The structure in CIF format:
```
data_La2CoOs
_symmetry_space_group_name_H-M 'P 4 m m'
_symmetry_Int_Tables_number 99
_cell_length_a 3.391
_cell_length_b 3.391
_cell_length_c 8.376
_cell_angle_alpha 90.00
_cell_angle_beta 90.00
_cell_angle_gamma 90.00
loop_
_symmetry_equiv_pos_as_xyz
'x,y,z'
'-y,x,z'
'-x,-y,z'
'y,-x,z'
'-x,y,z'
'y,x,z'
'x,-y,z'
'-y,-x,z'
loop_
_atom_site_label
_atom_site_fract_x
_atom_site_fract_y
_atom_site_fract_z
La1 0.000 0.000 0.000
La2 0.500 0.500 0.419
Co1 0.500 0.500 0.760
Os1 0.000 0.000 0.670
```